Version one
# Re5Pb4 | the Alexandria database | GGA-PBE | relaxed
data_Re5Pb4
_chemical_formula_sum 'Re5 Pb4'
_space_group_name_H-M_alt 'P 1'
_space_group_IT_number 1
_space_group_name_Hall 'P 1'
_cell_length_a 6.855
_cell_length_b 6.855
_cell_length_c 6.855
_cell_angle_alpha 96.23
_cell_angle_beta 96.23
_cell_angle_gamma 141.55
loop_
_atom_site_label
_atom_site_fract_x
_atom_site_fract_y
_atom_site_fract_z
_atom_site_occupancy
Re1 0.000 0.000 0.000 1
Re2 0.364 0.364 0.729 1
Re3 0.364 0.636 0.000 1
Re4 0.636 0.364 0.000 1
Re5 0.636 0.636 0.271 1
Pb1 0.000 0.310 0.310 1
Pb2 0.000 0.690 0.690 1
Pb3 0.310 0.000 0.310 1
Pb4 0.690 0.000 0.690 1
# - D(E_F) (states/eV per atom) = 0.872
# - calculated volume (Å³ per atom) = 21.013
# - mass density (Mg/m³) = 15.45
# - SG = I4/mmm (139)

=====

Version two
# Re5Pb4 | the Alexandria database | GGA-PBE | relaxed
data_Re5Pb4
_chemical_formula_sum 'Re10 Pb8'
_space_group_name_H-M_alt 'P 1'
_space_group_IT_number 1
_space_group_name_Hall 'P 1'
_cell_length_a 8.745
_cell_length_b 8.745
_cell_length_c 5.393
_cell_angle_alpha 90.00
_cell_angle_beta 90.00
_cell_angle_gamma 120.00
loop_
_atom_site_label
_atom_site_fract_x
_atom_site_fract_y
_atom_site_fract_z
_atom_site_occupancy
Re1 0.000 0.384 0.250 1
Re2 0.000 0.616 0.750 1
Re3 0.333 0.667 0.000 1
Re4 0.333 0.667 0.500 1
Re5 0.384 0.000 0.250 1
Re6 0.384 0.384 0.750 1
Re7 0.616 0.000 0.750 1
Re8 0.616 0.616 0.250 1
Re9 0.667 0.333 0.000 1
Re10 0.667 0.333 0.500 1
Pb1 0.000 0.000 0.000 1
Pb2 0.000 0.000 0.500 1
Pb3 0.000 0.313 0.750 1
Pb4 0.000 0.687 0.250 1
Pb5 0.313 0.000 0.750 1
Pb6 0.313 0.313 0.250 1
Pb7 0.687 0.000 0.250 1
Pb8 0.687 0.687 0.750 1
# - D(E_F) (states/eV per atom) = 0.880
# - calculated volume (Å³ per atom) = 19.843
# - mass density (Mg/m³) = 16.36
# - SG = P6_3/mcm (193)

=====

Which of them is most stable? Easy: version one.

=====

Version one
# Re3Pb4 | the Alexandria database | GGA-PBE | relaxed
data_Re3Pb4
_chemical_formula_sum 'Re6 Pb8'
_space_group_name_H-M_alt 'P 1'
_space_group_IT_number 1
_space_group_name_Hall 'P 1'
_cell_length_a 3.148
_cell_length_b 3.148
_cell_length_c 33.307
_cell_angle_alpha 90.00
_cell_angle_beta 90.00
_cell_angle_gamma 90.00
loop_
_atom_site_label
_atom_site_fract_x
_atom_site_fract_y
_atom_site_fract_z
_atom_site_occupancy
Re1 0.000 0.000 0.000 1
Re2 0.000 0.000 0.270 1
Re3 0.000 0.000 0.730 1
Re4 0.500 0.500 0.230 1
Re5 0.500 0.500 0.500 1
Re6 0.500 0.500 0.770 1
Pb1 0.000 0.000 0.163 1
Pb2 0.000 0.000 0.440 1
Pb3 0.000 0.000 0.560 1
Pb4 0.000 0.000 0.837 1
Pb5 0.500 0.500 0.060 1
Pb6 0.500 0.500 0.337 1
Pb7 0.500 0.500 0.663 1
Pb8 0.500 0.500 0.940 1
# - D(E_F) (states/eV per atom) = 0.668
# - calculated volume (Å³ per atom) = 23.571
# - mass density (Mg/m³) = 13.96
# - SG = I4/mmm (139)

=====

Version two
# Re3Pb4 | the Alexandria database | GGA-PBE | relaxed
data_Re3Pb4
_chemical_formula_sum 'Re3 Pb4'
_space_group_name_H-M_alt 'P 1'
_space_group_IT_number 1
_space_group_name_Hall 'P 1'
_cell_length_a 5.343
_cell_length_b 5.343
_cell_length_c 6.467
_cell_angle_alpha 90.00
_cell_angle_beta 90.00
_cell_angle_gamma 120.00
loop_
_atom_site_label
_atom_site_fract_x
_atom_site_fract_y
_atom_site_fract_z
_atom_site_occupancy
Re1 0.000 0.500 0.000 1
Re2 0.500 0.000 0.000 1
Re3 0.500 0.500 0.000 1
Pb1 0.000 0.000 0.242 1
Pb2 0.000 0.000 0.758 1
Pb3 0.333 0.667 0.500 1
Pb4 0.667 0.333 0.500 1
# - D(E_F) (states/eV per atom) = 0.838
# - calculated volume (Å³ per atom) = 22.841
# - mass density (Mg/m³) = 14.41
# - SG = P6/mmm (191)

=====

Which of them is most stable? Easy: version one.

=====

Version one
# ReRhPb2 | the Alexandria database | GGA-PBE | relaxed
data_ReRhPb2
_chemical_formula_sum 'Re2 Rh2 Pb4'
_space_group_name_H-M_alt 'P 1'
_space_group_IT_number 1
_space_group_name_Hall 'P 1'
_cell_length_a 8.890
_cell_length_b 3.206
_cell_length_c 5.711
_cell_angle_alpha 90.00
_cell_angle_beta 103.15
_cell_angle_gamma 90.00
loop_
_atom_site_label
_atom_site_fract_x
_atom_site_fract_y
_atom_site_fract_z
_atom_site_occupancy
Re1 0.000 0.000 0.000 1
Re2 0.500 0.500 0.000 1
Rh1 0.000 0.500 0.500 1
Rh2 0.500 0.000 0.500 1
Pb1 0.248 0.000 0.749 1
Pb2 0.252 0.500 0.251 1
Pb3 0.748 0.500 0.749 1
Pb4 0.752 0.000 0.251 1
# - D(E_F) (states/eV per atom) = 1.221
# - calculated volume (Å³ per atom) = 19.812
# - mass density (Mg/m³) = 14.74
# - SG = C2/m (12)

=====

Version two
# ReRhPb2 | the Alexandria database | GGA-PBE | relaxed
data_ReRhPb2
_chemical_formula_sum 'Re3 Rh3 Pb6'
_space_group_name_H-M_alt 'P 1'
_space_group_IT_number 1
_space_group_name_Hall 'P 1'
_cell_length_a 3.251
_cell_length_b 3.251
_cell_length_c 25.808
_cell_angle_alpha 90.00
_cell_angle_beta 90.00
_cell_angle_gamma 120.00
loop_
_atom_site_label
_atom_site_fract_x
_atom_site_fract_y
_atom_site_fract_z
_atom_site_occupancy
Re1 0.000 0.000 0.000 1
Re2 0.333 0.667 0.667 1
Re3 0.667 0.333 0.333 1
Rh1 0.000 0.000 0.500 1
Rh2 0.333 0.667 0.167 1
Rh3 0.667 0.333 0.833 1
Pb1 0.000 0.000 0.248 1
Pb2 0.000 0.000 0.752 1
Pb3 0.333 0.667 0.419 1
Pb4 0.333 0.667 0.915 1
Pb5 0.667 0.333 0.085 1
Pb6 0.667 0.333 0.581 1
# - D(E_F) (states/eV per atom) = 0.759
# - calculated volume (Å³ per atom) = 19.690
# - mass density (Mg/m³) = 14.83
# - SG = R-3m (166)

=====

Which of them is most stable? Easy: version two.

=====

Version one
# ReRhPb2 | the Alexandria database | GGA-PBE | relaxed
data_ReRhPb2
_chemical_formula_sum 'Re2 Rh2 Pb4'
_space_group_name_H-M_alt 'P 1'
_space_group_IT_number 1
_space_group_name_Hall 'P 1'
_cell_length_a 3.468
_cell_length_b 5.327
_cell_length_c 8.689
_cell_angle_alpha 90.00
_cell_angle_beta 90.00
_cell_angle_gamma 90.00
loop_
_atom_site_label
_atom_site_fract_x
_atom_site_fract_y
_atom_site_fract_z
_atom_site_occupancy
Re1 0.000 0.000 0.000 1
Re2 0.500 0.500 0.000 1
Rh1 0.000 0.000 0.500 1
Rh2 0.500 0.500 0.500 1
Pb1 0.000 0.500 0.257 1
Pb2 0.000 0.500 0.743 1
Pb3 0.500 0.000 0.257 1
Pb4 0.500 0.000 0.743 1
# - D(E_F) (states/eV per atom) = 1.059
# - calculated volume (Å³ per atom) = 20.067
# - mass density (Mg/m³) = 14.55
# - SG = Cmmm (65)

=====

Version two
# ReRhPb2 | the Alexandria database | GGA-PBE | relaxed
data_ReRhPb2
_chemical_formula_sum 'Re2 Rh2 Pb4'
_space_group_name_H-M_alt 'P 1'
_space_group_IT_number 1
_space_group_name_Hall 'P 1'
_cell_length_a 3.985
_cell_length_b 3.985
_cell_length_c 10.067
_cell_angle_alpha 90.00
_cell_angle_beta 90.00
_cell_angle_gamma 90.00
loop_
_atom_site_label
_atom_site_fract_x
_atom_site_fract_y
_atom_site_fract_z
_atom_site_occupancy
Re1 0.000 0.000 0.000 1
Re2 0.500 0.500 0.500 1
Rh1 0.000 0.500 0.750 1
Rh2 0.500 0.000 0.250 1
Pb1 0.000 0.000 0.500 1
Pb2 0.000 0.500 0.250 1
Pb3 0.500 0.000 0.750 1
Pb4 0.500 0.500 0.000 1
# - D(E_F) (states/eV per atom) = 0.853
# - calculated volume (Å³ per atom) = 19.985
# - mass density (Mg/m³) = 14.61
# - SG = I-4m2 (119)

=====

Which of them is most stable? Easy: version one.

=====

Version one
# Re2Rh2Pb | the Alexandria database | GGA-PBE | relaxed
data_Re2Rh2Pb
_chemical_formula_sum 'Re4 Rh4 Pb2'
_space_group_name_H-M_alt 'P 1'
_space_group_IT_number 1
_space_group_name_Hall 'P 1'
_cell_length_a 7.922
_cell_length_b 7.922
_cell_length_c 2.772
_cell_angle_alpha 90.00
_cell_angle_beta 90.00
_cell_angle_gamma 90.00
loop_
_atom_site_label
_atom_site_fract_x
_atom_site_fract_y
_atom_site_fract_z
_atom_site_occupancy
Re1 0.116 0.384 0.000 1
Re2 0.384 0.884 0.000 1
Re3 0.616 0.116 0.000 1
Re4 0.884 0.616 0.000 1
Rh1 0.168 0.668 0.500 1
Rh2 0.332 0.168 0.500 1
Rh3 0.668 0.832 0.500 1
Rh4 0.832 0.332 0.500 1
Pb1 0.000 0.000 0.500 1
Pb2 0.500 0.500 0.500 1
# - D(E_F) (states/eV per atom) = 1.042
# - calculated volume (Å³ per atom) = 17.395
# - mass density (Mg/m³) = 15.00
# - SG = P4/mbm (127)

=====

Version two
# Re2Rh2Pb | the Alexandria database | GGA-PBE | relaxed
data_Re2Rh2Pb
_chemical_formula_sum 'Re4 Rh4 Pb2'
_space_group_name_H-M_alt 'P 1'
_space_group_IT_number 1
_space_group_name_Hall 'P 1'
_cell_length_a 3.615
_cell_length_b 3.615
_cell_length_c 13.565
_cell_angle_alpha 90.00
_cell_angle_beta 90.00
_cell_angle_gamma 90.00
loop_
_atom_site_label
_atom_site_fract_x
_atom_site_fract_y
_atom_site_fract_z
_atom_site_occupancy
Re1 0.000 0.500 0.250 1
Re2 0.000 0.500 0.750 1
Re3 0.500 0.000 0.250 1
Re4 0.500 0.000 0.750 1
Rh1 0.000 0.000 0.104 1
Rh2 0.000 0.000 0.896 1
Rh3 0.500 0.500 0.396 1
Rh4 0.500 0.500 0.604 1
Pb1 0.000 0.000 0.500 1
Pb2 0.500 0.500 0.000 1
# - D(E_F) (states/eV per atom) = 0.643
# - calculated volume (Å³ per atom) = 17.724
# - mass density (Mg/m³) = 14.72
# - SG = I4/mmm (139)

=====

Which of them is most stable? Easy: version two.

=====

Version one
# ReRh2Pb2 | the Alexandria database | GGA-PBE | relaxed
data_ReRh2Pb2
_chemical_formula_sum 'Re2 Rh4 Pb4'
_space_group_name_H-M_alt 'P 1'
_space_group_IT_number 1
_space_group_name_Hall 'P 1'
_cell_length_a 4.127
_cell_length_b 4.127
_cell_length_c 12.368
_cell_angle_alpha 90.00
_cell_angle_beta 90.00
_cell_angle_gamma 90.00
loop_
_atom_site_label
_atom_site_fract_x
_atom_site_fract_y
_atom_site_fract_z
_atom_site_occupancy
Re1 0.000 0.000 0.000 1
Re2 0.500 0.500 0.500 1
Rh1 0.000 0.000 0.401 1
Rh2 0.000 0.000 0.599 1
Rh3 0.500 0.500 0.099 1
Rh4 0.500 0.500 0.901 1
Pb1 0.000 0.500 0.250 1
Pb2 0.000 0.500 0.750 1
Pb3 0.500 0.000 0.250 1
Pb4 0.500 0.000 0.750 1
# - D(E_F) (states/eV per atom) = 1.155
# - calculated volume (Å³ per atom) = 21.069
# - mass density (Mg/m³) = 12.71
# - SG = I4/mmm (139)

=====

Version two
# ReRh2Pb2 | the Alexandria database | GGA-PBE | relaxed
data_ReRh2Pb2
_chemical_formula_sum 'Re2 Rh4 Pb4'
_space_group_name_H-M_alt 'P 1'
_space_group_IT_number 1
_space_group_name_Hall 'P 1'
_cell_length_a 6.616
_cell_length_b 6.616
_cell_length_c 4.670
_cell_angle_alpha 90.00
_cell_angle_beta 90.00
_cell_angle_gamma 90.00
loop_
_atom_site_label
_atom_site_fract_x
_atom_site_fract_y
_atom_site_fract_z
_atom_site_occupancy
Re1 0.000 0.000 0.000 1
Re2 0.500 0.500 0.000 1
Rh1 0.145 0.355 0.000 1
Rh2 0.355 0.855 0.000 1
Rh3 0.645 0.145 0.000 1
Rh4 0.855 0.645 0.000 1
Pb1 0.176 0.676 0.500 1
Pb2 0.324 0.176 0.500 1
Pb3 0.676 0.824 0.500 1
Pb4 0.824 0.324 0.500 1
# - D(E_F) (states/eV per atom) = 0.888
# - calculated volume (Å³ per atom) = 20.440
# - mass density (Mg/m³) = 13.10
# - SG = P4/mbm (127)

=====

Which of them is most stable? Easy: version two.

=====

Version one
# ReRhPb | the Alexandria database | GGA-PBE | relaxed
data_ReRhPb
_chemical_formula_sum 'Re4 Rh4 Pb4'
_space_group_name_H-M_alt 'P 1'
_space_group_IT_number 1
_space_group_name_Hall 'P 1'
_cell_length_a 6.238
_cell_length_b 6.238
_cell_length_c 6.238
_cell_angle_alpha 90.00
_cell_angle_beta 90.00
_cell_angle_gamma 90.00
loop_
_atom_site_label
_atom_site_fract_x
_atom_site_fract_y
_atom_site_fract_z
_atom_site_occupancy
Re1 0.000 0.000 0.000 1
Re2 0.000 0.500 0.500 1
Re3 0.500 0.000 0.500 1
Re4 0.500 0.500 0.000 1
Rh1 0.250 0.250 0.250 1
Rh2 0.250 0.750 0.750 1
Rh3 0.750 0.250 0.750 1
Rh4 0.750 0.750 0.250 1
Pb1 0.000 0.000 0.500 1
Pb2 0.000 0.500 0.000 1
Pb3 0.500 0.000 0.000 1
Pb4 0.500 0.500 0.500 1
# - D(E_F) (states/eV per atom) = 1.140
# - calculated volume (Å³ per atom) = 20.228
# - mass density (Mg/m³) = 13.58
# - SG = F-43m (216)

=====

Version two
# ReRhPb | the Alexandria database | GGA-PBE | relaxed
data_ReRhPb
_chemical_formula_sum 'Re2 Rh2 Pb2'
_space_group_name_H-M_alt 'P 1'
_space_group_IT_number 1
_space_group_name_Hall 'P 1'
_cell_length_a 2.978
_cell_length_b 2.978
_cell_length_c 12.335
_cell_angle_alpha 90.00
_cell_angle_beta 90.00
_cell_angle_gamma 90.00
loop_
_atom_site_label
_atom_site_fract_x
_atom_site_fract_y
_atom_site_fract_z
_atom_site_occupancy
Re1 0.000 0.000 0.000 1
Re2 0.500 0.500 0.500 1
Rh1 0.000 0.000 0.627 1
Rh2 0.500 0.500 0.127 1
Pb1 0.000 0.000 0.316 1
Pb2 0.500 0.500 0.816 1
# - D(E_F) (states/eV per atom) = 0.370
# - calculated volume (Å³ per atom) = 18.231
# - mass density (Mg/m³) = 15.07
# - SG = I4mm (107)

=====

Which of them is most stable? Easy: version two.

=====

Version one
# ReRuPb2 | the Alexandria database | GGA-PBE | relaxed
data_ReRuPb2
_chemical_formula_sum 'Re2 Ru2 Pb4'
_space_group_name_H-M_alt 'P 1'
_space_group_IT_number 1
_space_group_name_Hall 'P 1'
_cell_length_a 8.879
_cell_length_b 3.172
_cell_length_c 5.664
_cell_angle_alpha 90.00
_cell_angle_beta 102.29
_cell_angle_gamma 90.00
loop_
_atom_site_label
_atom_site_fract_x
_atom_site_fract_y
_atom_site_fract_z
_atom_site_occupancy
Re1 0.000 0.000 0.000 1
Re2 0.500 0.500 0.000 1
Ru1 0.000 0.500 0.500 1
Ru2 0.500 0.000 0.500 1
Pb1 0.248 0.000 0.747 1
Pb2 0.252 0.500 0.253 1
Pb3 0.748 0.500 0.747 1
Pb4 0.752 0.000 0.253 1
# - D(E_F) (states/eV per atom) = 1.096
# - calculated volume (Å³ per atom) = 19.487
# - mass density (Mg/m³) = 14.95
# - SG = C2/m (12)

=====

Version two
# ReRuPb2 | the Alexandria database | GGA-PBE | relaxed
data_ReRuPb2
_chemical_formula_sum 'Re2 Ru2 Pb4'
_space_group_name_H-M_alt 'P 1'
_space_group_IT_number 1
_space_group_name_Hall 'P 1'
_cell_length_a 3.330
_cell_length_b 5.386
_cell_length_c 8.873
_cell_angle_alpha 90.00
_cell_angle_beta 90.00
_cell_angle_gamma 90.00
loop_
_atom_site_label
_atom_site_fract_x
_atom_site_fract_y
_atom_site_fract_z
_atom_site_occupancy
Re1 0.000 0.000 0.000 1
Re2 0.500 0.500 0.000 1
Ru1 0.000 0.000 0.500 1
Ru2 0.500 0.500 0.500 1
Pb1 0.000 0.500 0.256 1
Pb2 0.000 0.500 0.744 1
Pb3 0.500 0.000 0.256 1
Pb4 0.500 0.000 0.744 1
# - D(E_F) (states/eV per atom) = 1.249
# - calculated volume (Å³ per atom) = 19.891
# - mass density (Mg/m³) = 14.64
# - SG = Cmmm (65)

=====

Which of them is most stable? Easy: version one.